No. 1
Compound: KMo2Ir
Source: Alexandria via LeMat-Bulk
Functional: GGA-PBEsol
Structure: optimized geometry

Cell lengths 2.7139, 2.7139, 10.1701 Å; angles 90.00, 90.00, 90.00 degrees
Last column: nearest neighbours and their distance in Å.
Sites, in units of the cell vectors:
K  0.0000  0.0000  0.0000  4 K 2.71
Mo  0.5000  0.5000  0.3102  4 Mo 2.71, 4 Ir 2.72
Mo  0.5000  0.5000  0.6898  4 Mo 2.71, 4 Ir 2.72
Ir  0.0000  0.0000  0.5000  4 Ir 2.71, 8 Mo 2.72

Properties
For the energy of formation, the calculation gives 0.730 eV/atom. The polymorph energy (0 for the lowest one) is 0.02 eV/f.u. For the size of the total moment, the calculation gives 0.00 μB/f.u.

No. 2
Compound: K2MoIr
Source: Alexandria via LeMat-Bulk
Functional: GGA-PBEsol
Structure: optimized geometry

Cell lengths 3.2939, 4.1945, 5.7776 Å; angles 90.00, 90.00, 90.00 degrees
Last column: nearest neighbours and their distance in Å.
Sites, in units of the cell vectors:
K  0.0000  0.0000  0.0000  4 K 2.67
K  0.5000  0.5000  0.0000  4 K 2.67
Mo  0.0000  0.5000  0.5000  4 Ir 2.67
Ir  0.5000  0.0000  0.5000  4 Mo 2.67

Properties
For the energy of formation, the calculation gives 1.127 eV/atom. The polymorph energy (0 for the lowest one) is 1.73 eV/f.u. For the size of the total moment, the calculation gives 0.00 μB/f.u.